(1)
# LuNiPtPb, relaxed, DFT PBE
data_LuNiPtPb
_chemical_formula_sum 'Lu1 Ni1 Pt1 Pb1'
_cell_length_a 4.748
_cell_length_b 4.748
_cell_length_c 4.748
_cell_angle_alpha 60.00
_cell_angle_beta 60.00
_cell_angle_gamma 60.00
_symmetry_space_group_name_H-M 'P 1'
_symmetry_Int_Tables_number 1
loop_
_symmetry_equiv_pos_as_xyz
'x,y,z'
loop_
_atom_site_label
_atom_site_fract_x
_atom_site_fract_y
_atom_site_fract_z
Pb1 0.500 0.500 0.500
Ni1 0.250 0.250 0.250
Lu1 0.000 0.000 0.000
Pt1 0.750 0.750 0.750
# Formation energy from the elements in eV per atom: -0.500
# Symmetry: No. 216
# Magnetic moment in Bohr magnetons per cell: 0.000

---

(2)
# LiMg5Ag3, relaxed, DFT PBE
data_LiMg5Ag3
_chemical_formula_sum 'Li2 Mg10 Ag6'
_cell_length_a 5.809
_cell_length_b 8.316
_cell_length_c 8.316
_cell_angle_alpha 120.00
_cell_angle_beta 90.00
_cell_angle_gamma 90.00
_symmetry_space_group_name_H-M 'P 1'
_symmetry_Int_Tables_number 1
loop_
_symmetry_equiv_pos_as_xyz
'x,y,z'
loop_
_atom_site_label
_atom_site_fract_x
_atom_site_fract_y
_atom_site_fract_z
Li1 0.000 0.000 0.000
Li2 0.500 0.000 0.000
Mg1 0.000 0.667 0.333
Mg2 0.500 0.333 0.667
Mg3 0.000 0.333 0.667
Mg4 0.500 0.667 0.333
Mg5 0.750 0.689 0.689
Mg6 0.750 0.000 0.311
Mg7 0.750 0.311 0.000
Mg8 0.250 0.311 0.311
Mg9 0.250 0.000 0.689
Mg10 0.250 0.689 0.000
Ag1 0.750 0.353 0.353
Ag2 0.750 0.000 0.647
Ag3 0.750 0.647 0.000
Ag4 0.250 0.647 0.647
Ag5 0.250 0.000 0.353
Ag6 0.250 0.353 0.000
# Formation energy from the elements in eV per atom: -0.181
# Symmetry: No. 193
# Energy above the most stable polymorph in this dataset in eV/atom: 0.000
# Magnetic moment in Bohr magnetons per cell: 0.000

---

(3)
# NpTcAs2, relaxed, DFT PBE
data_NpTcAs2
_chemical_formula_sum 'Np2 Tc2 As4'
_cell_length_a 4.092
_cell_length_b 4.092
_cell_length_c 9.653
_cell_angle_alpha 102.24
_cell_angle_beta 102.24
_cell_angle_gamma 90.01
_symmetry_space_group_name_H-M 'P 1'
_symmetry_Int_Tables_number 1
loop_
_symmetry_equiv_pos_as_xyz
'x,y,z'
loop_
_atom_site_label
_atom_site_fract_x
_atom_site_fract_y
_atom_site_fract_z
Np1 0.114 0.114 0.227
Np2 0.886 0.886 0.773
Tc1 0.250 0.750 0.500
Tc2 0.750 0.250 0.500
As1 0.330 0.330 0.660
As2 0.670 0.670 0.340
As3 0.000 0.500 0.000
As4 0.500 0.000 0.000
# Formation energy from the elements in eV per atom: -0.416
# Symmetry: No. 139
# Energy above the most stable polymorph in this dataset in eV/atom: 0.000
# Magnetic moment in Bohr magnetons per cell: 6.771

---

> Number 1 is which compound?

LuNiPtPb